## ReIrRh2 (PBE-GGA)

Data for ReIrRh2 after structural relaxation.

a = 2.7482 Å, b = 2.7482 Å, c = 26.6218 Å
α = 90.00°, β = 90.00°, γ = 120.00°
Last column: nearest neighbours and their distance in Å.
Space group R3m (No. 160, hexagonal axes)
One atom of each set of equivalent atoms:
Re1 0.0000 0.0000 0.0000 [3 per cell]  3 Rh 2.69, 3 Ir 2.70, 6 Re 2.75
Ir1 0.0000 0.0000 0.2514 [3 per cell]  3 Re 2.70, 6 Ir 2.75, 3 Rh 2.76
Rh1 0.0000 0.0000 0.5000 [3 per cell]  9 Rh 2.75-2.76, 3 Ir 2.76
Rh2 0.0000 0.0000 0.7483 [3 per cell]  3 Re 2.69, 9 Rh 2.75-2.76

Calculated values
- Energy relative to the elements: -33 meV/atom
- Uncorrected energy: -9.036 eV/atom
- N(E_F): 16.68 states/eV per cell
- Polymorph energy (0 for the lowest one): 0.075 eV/atom